1.
The following is a DFT calculation (PBE) of a relaxed ZnSb2Rh crystal.

Structure (POSCAR):
```
ZnSb2Rh
1.0
-1.8872 -2.5425 -0.3361
-0.0954 -0.3588 3.2500
-6.3569 4.6748 0.3296
Sb Zn Rh
2 1 1
direct
0.0000 0.0000 0.5342
0.0000 0.0000 0.9658
0.5000 0.5000 0.2500
0.5000 0.5000 0.7500
```

DOS at the Fermi energy = 1.94 states/eV/f.u.
ΔE_f (raw) = -7.0 kJ/mol of atoms
M_tot = 0.0 μB per formula unit

=====

2.
The following is a DFT calculation (PBE) of a relaxed BeCrRh4 crystal.

Structure (POSCAR):
```
BeCrRh4
1.0
0.0000 3.5708 3.5708
3.5708 0.0000 3.5708
3.5708 3.5708 0.0000
Be Rh Cr
1 4 1
direct
0.7500 0.7500 0.7500
0.8743 0.3752 0.3752
0.3752 0.3752 0.3752
0.3752 0.8743 0.3752
0.3752 0.3752 0.8743
0.0000 0.0000 0.0000
```

DOS at the Fermi energy = 9.01 states/eV/f.u.
energy relative to the elements = 397 meV/atom
M_tot = 2.6 μB per formula unit

=====

3.
The following is a DFT calculation (PBE) of a relaxed RbLi crystal.

Structure (POSCAR):
```
RbLi
1.0
8.8136 0.0000 0.0000
0.0000 8.8136 0.0000
0.0000 0.0000 8.8136
Rb Li
4 4
direct
0.0000 0.5000 0.5000
0.5000 0.0000 0.5000
0.0000 0.0000 0.0000
0.5000 0.5000 0.0000
0.2500 0.7500 0.7500
0.2500 0.2500 0.2500
0.7500 0.7500 0.2500
0.7500 0.2500 0.7500
```

DOS at the Fermi energy = 0.83 states/eV/f.u.
energy relative to the elements = 497 meV/atom
M_tot = 0.0 μB per formula unit

=====

4.
The following is a DFT calculation (PBE) of a relaxed MgCd2Ni crystal.

Structure (POSCAR):
```
MgCd2Ni
1.0
9.3822 0.0003 0.0002
8.8773 3.0363 0.0002
8.8773 1.4763 2.6532
Mg Ni Cd
1 1 2
direct
0.2500 0.2500 0.2500
0.7500 0.7500 0.7500
0.4903 0.4903 0.4903
0.0097 0.0097 0.0097
```

DOS at the Fermi energy = 2.29 states/eV/f.u.
energy relative to the elements = 104 meV/atom
M_tot = 0.0 μB per formula unit